1.
NdHfTe3 | PBE-GGA | optimized geometry

## Properties
The uncorrected formation energy is -1042 meV per atom. For the volume, the calculation gives 145.4 Å³/f.u. The crystal system is orthorhombic. The space group is No. 62. As for the density of states at the Fermi level: 13.3 states/eV/cell.

```
NdHfTe3
1.0
9.117 0.000 0.000
0.000 4.155 0.000
0.000 0.000 15.352
Nd Hf Te
4 4 12
Direct
0.089 0.250 0.167
0.411 0.750 0.667
0.589 0.250 0.333
0.911 0.750 0.833
0.136 0.750 0.458
0.364 0.250 0.958
0.636 0.750 0.042
0.864 0.250 0.542
0.033 0.750 0.630
0.153 0.750 0.006
0.199 0.250 0.795
0.301 0.750 0.295
0.347 0.250 0.506
0.467 0.250 0.130
0.533 0.750 0.870
0.653 0.750 0.494
0.699 0.250 0.705
0.801 0.750 0.205
0.847 0.250 0.994
0.967 0.250 0.370
```

***

2.
Tb5Tm12Sn3 | PBE-GGA | optimized geometry

## Properties
The calculation puts the energy of formation from the pure elements at 0.75 eV/atom. For the volume, the calculation gives 772.3 Å³/f.u. The crystal system is cubic. The space group is No. 230. As for the density of states at the Fermi level: 130.7 states/eV/cell.

```
Tb5Tm12Sn3
1.0
-9.175 9.175 9.175
9.175 -9.175 9.175
9.175 9.175 -9.175
Tb Tm Sn
20 48 12
Direct
0.000 0.000 0.000
0.000 0.000 0.500
0.000 0.500 0.000
0.000 0.500 0.500
0.125 0.750 0.875
0.125 0.875 0.250
0.250 0.125 0.875
0.250 0.625 0.375
0.375 0.250 0.625
0.375 0.625 0.750
0.500 0.000 0.000
0.500 0.000 0.500
0.500 0.500 0.000
0.500 0.500 0.500
0.625 0.375 0.250
0.625 0.750 0.375
0.750 0.375 0.625
0.750 0.875 0.125
0.875 0.125 0.750
0.875 0.250 0.125
0.069 0.650 0.419
0.069 0.919 0.650
0.081 0.231 0.150
0.081 0.350 0.931
0.081 0.731 0.650
0.081 0.850 0.431
0.150 0.081 0.231
0.150 0.231 0.581
0.150 0.419 0.569
0.150 0.569 0.919
0.231 0.150 0.081
0.231 0.581 0.150
0.269 0.350 0.919
0.269 0.419 0.350
0.350 0.269 0.419
0.350 0.581 0.931
0.350 0.919 0.269
0.350 0.931 0.081
0.419 0.069 0.650
0.419 0.350 0.269
0.419 0.569 0.150
0.419 0.850 0.769
0.431 0.081 0.850
0.431 0.850 0.581
0.569 0.150 0.419
0.569 0.919 0.150
0.581 0.150 0.231
0.581 0.431 0.850
0.581 0.650 0.731
0.581 0.931 0.350
0.650 0.069 0.919
0.650 0.081 0.731
0.650 0.419 0.069
0.650 0.731 0.581
0.731 0.581 0.650
0.731 0.650 0.081
0.769 0.419 0.850
0.769 0.850 0.919
0.850 0.431 0.081
0.850 0.581 0.431
0.850 0.769 0.419
0.850 0.919 0.769
0.919 0.150 0.569
0.919 0.269 0.350
0.919 0.650 0.069
0.919 0.769 0.850
0.931 0.081 0.350
0.931 0.350 0.581
0.125 0.250 0.375
0.125 0.375 0.750
0.250 0.375 0.125
0.250 0.875 0.625
0.375 0.125 0.250
0.375 0.750 0.125
0.625 0.250 0.875
0.625 0.875 0.750
0.750 0.125 0.375
0.750 0.625 0.875
0.875 0.625 0.250
0.875 0.750 0.625
```

***

3.
K3NpI7 | PBE-GGA | optimized geometry

## Properties
The uncorrected formation energy is -1101 meV per atom. For the volume, the calculation gives 519.1 Å³/f.u. The crystal system is monoclinic. The space group is No. 8. As for the density of states at the Fermi level: 8.7 states/eV/cell.

```
K3NpI7
1.0
6.231 -5.582 0.000
6.231 5.582 0.000
-5.538 0.000 7.462
K Np I
3 1 7
Direct
0.000 0.000 0.000
0.296 0.733 0.603
0.733 0.296 0.603
0.562 0.562 0.154
0.193 0.546 0.843
0.367 0.367 0.254
0.372 0.882 0.326
0.546 0.193 0.843
0.710 0.710 0.983
0.881 0.881 0.528
0.882 0.372 0.326
```

***

4.
Sr2LaAu | PBE-GGA | optimized geometry

## Properties
The calculation puts the energy of formation from the pure elements at -0.03 eV/atom. For the volume, the calculation gives 137.7 Å³/f.u. The crystal system is tetragonal. The space group is No. 119. As for the density of states at the Fermi level: 5.5 states/eV/cell.

```
Sr2LaAu
1.0
-2.460 2.460 5.689
2.460 -2.460 5.689
2.460 2.460 -5.689
Sr La Au
2 1 1
Direct
0.000 0.000 0.000
0.750 0.250 0.500
0.500 0.500 0.000
0.250 0.750 0.500
```

***

5.
Cd2SiRu2 | PBE-GGA | optimized geometry

## Properties
The uncorrected formation energy is -97 meV per atom. For the volume, the calculation gives 86.0 Å³/f.u. The crystal system is tetragonal. The space group is No. 127. As for the density of states at the Fermi level: 11.7 states/eV/cell.

```
Cd2SiRu2
1.0
6.159 0.000 0.000
0.000 6.159 0.000
0.000 0.000 4.533
Cd Si Ru
4 2 4
Direct
0.167 0.333 0.000
0.333 0.833 0.000
0.667 0.167 0.000
0.833 0.667 0.000
0.000 0.000 0.500
0.500 0.500 0.500
0.145 0.645 0.500
0.355 0.145 0.500
0.645 0.855 0.500
0.855 0.355 0.500
```

***

6.
SrGeAsBr2 | PBE-GGA | optimized geometry

## Properties
The uncorrected formation energy is -85 meV per atom. For the volume, the calculation gives 205.0 Å³/f.u. The crystal system is tetragonal. The space group is No. 123. As for the density of states at the Fermi level: 2.5 states/eV/cell.

```
SrGeAsBr2
1.0
5.696 0.000 0.000
0.000 5.696 0.000
0.000 0.000 6.317
Sr Ge As Br
1 1 1 2
Direct
0.000 0.000 0.000
0.500 0.500 0.500
0.000 0.000 0.500
0.000 0.500 0.000
0.500 0.000 0.000
```